Record 1
Material: CrCo2Pb
Method: DFT, PBEsol
State: relaxed

abc: 4.025 4.025 4.846
angles: 65.46 65.46 60.00
Positions (direct):
Pb 0.262 0.262 0.214
Co 0.708 0.708 0.877
Co 0.056 0.056 0.832
Cr 0.474 0.474 0.577

Output
Energy relative to the elements (eV/atom): 0.5360
SG: R3m



Record 2
Material: CsCuGe2F
Method: DFT, PBEsol
State: relaxed

abc: 4.378 4.378 7.300
angles: 90.00 90.00 90.00
Positions (direct):
Cs 0.500 0.500 0.500
Ge 0.500 0.000 0.000
Ge 0.000 0.500 0.000
Cu 0.000 0.000 0.000
F 0.000 0.000 0.500

Output
Raw formation energy (eV per formula unit): -1.99
SG: P4/mmm



Record 3
Material: Al2SiHg
Method: DFT, PBEsol
State: relaxed

abc: 3.020 3.020 7.564
angles: 90.00 90.00 90.00
Positions (direct):
Al 0.000 0.000 0.722
Al 0.000 0.000 0.278
Hg 0.500 0.500 0.000
Si 0.500 0.500 0.500

Output
Raw formation energy (eV per formula unit): 0.60
SG: P4/mmm



Record 4
Material: CaCdAg
Method: DFT, PBEsol
State: relaxed

abc: 3.674 3.674 5.599
angles: 109.16 109.16 90.00
Positions (direct):
Ca 0.336 0.336 0.672
Cd 0.651 0.651 0.302
Ag 0.013 0.013 0.026

Output
Energy relative to the elements (eV/atom): -0.2758
SG: I4mm



Record 5
Material: Li2AlRe
Method: DFT, PBEsol
State: relaxed

abc: 3.542 3.542 5.137
angles: 110.17 110.17 90.00
Positions (direct):
Li 0.250 0.750 0.500
Li 0.750 0.250 0.500
Al 0.000 0.000 0.000
Re 0.500 0.500 0.000

Output
Energy relative to the elements (eV/atom): 0.2463
SG: I4/mmm



Record 6
Material: ZnReN2O
Method: DFT, PBEsol
State: relaxed

abc: 3.646 3.763 3.763
angles: 90.00 90.00 90.00
Positions (direct):
N 0.000 0.500 0.000
N 0.000 0.000 0.500
Zn 0.000 0.000 0.000
O 0.500 0.000 0.000
Re 0.500 0.500 0.500

Output
Raw formation energy (eV per formula unit): 7.94
SG: P4/mmm



Record 7
Material: K2Ru
Method: DFT, PBEsol
State: relaxed

abc: 2.720 5.439 5.916
angles: 117.37 103.29 90.00
Positions (direct):
Ru 0.000 0.000 0.000
K 0.340 0.340 0.681
K 0.660 0.660 0.319

Output
Energy relative to the elements (eV/atom): 1.2709
SG: Immm



Record 8
Material: RbAg2Te2
Method: DFT, PBEsol
State: relaxed

abc: 4.492 4.492 7.805
angles: 106.73 106.73 90.00
Positions (direct):
Te 0.632 0.632 0.265
Te 0.368 0.368 0.735
Ag 0.750 0.250 0.500
Ag 0.250 0.750 0.500
Rb 0.000 0.000 0.000

Output
Raw formation energy (eV per formula unit): -1.91
SG: I4/mmm



Record 9
Material: BeMoOs2
Method: DFT, PBEsol
State: relaxed

abc: 4.229 4.229 4.229
angles: 60.00 60.00 60.00
Positions (direct):
Mo 0.750 0.750 0.750
Os 0.000 0.000 0.000
Os 0.250 0.250 0.250
Be 0.500 0.500 0.500

Output
Energy relative to the elements (eV/atom): 0.3160
SG: F-43m



Record 10
Material: LiReAs2
Method: DFT, PBEsol
State: relaxed

abc: 3.039 4.255 5.290
angles: 99.32 90.00 110.92
Positions (direct):
As 0.235 0.469 0.224
As 0.765 0.531 0.776
Li 0.000 0.000 0.500
Re 0.500 0.000 0.000

Output
Energy relative to the elements (eV/atom): -0.0353
SG: C2/m



Record 11
Material: Y2ScAl2
Method: DFT, PBEsol
State: relaxed

abc: 4.299 7.529 7.529
angles: 90.00 90.00 90.00
Positions (direct):
Al 0.000 0.377 0.877
Al 0.000 0.123 0.377
Al 0.000 0.877 0.623
Al 0.000 0.623 0.123
Sc 0.000 0.500 0.500
Sc 0.000 0.000 0.000
Y 0.500 0.825 0.325
Y 0.500 0.675 0.825
Y 0.500 0.175 0.675
Y 0.500 0.325 0.175

Output
Energy relative to the elements (eV/atom): -0.3348
SG: P4/mbm



Record 12
Material: LiIr3Se
Method: DFT, PBEsol
State: relaxed

abc: 4.144 4.144 4.144
angles: 90.00 90.00 90.00
Positions (direct):
Ir 0.000 0.000 0.500
Ir 0.500 0.000 0.000
Ir 0.000 0.500 0.000
Li 0.000 0.000 0.000
Se 0.500 0.500 0.500

Output
Raw formation energy (eV per formula unit): 6.12
SG: Pm-3m



Record 13
Material: Ni2OsW
Method: DFT, PBEsol
State: relaxed

abc: 3.706 3.706 4.520
angles: 114.21 114.21 90.00
Positions (direct):
Ni 0.750 0.250 0.500
Ni 0.500 0.500 0.000
W 0.250 0.750 0.500
Os 0.000 0.000 0.000

Output
Energy relative to the elements (eV/atom): -0.0361
SG: I-4m2



Record 14
Material: TiCd2Pd
Method: DFT, PBEsol
State: relaxed

abc: 4.577 4.577 4.577
angles: 60.00 60.00 60.00
Positions (direct):
Pd 0.500 0.500 0.500
Cd 0.750 0.750 0.750
Cd 0.250 0.250 0.250
Ti 0.000 0.000 0.000

Output
Energy relative to the elements (eV/atom): -0.1725
SG: Fm-3m



Record 15
Material: Ba5Ir
Method: DFT, PBEsol
State: relaxed

abc: 4.426 6.280 9.763
angles: 90.00 103.10 90.00
Positions (direct):
Ba 0.336 0.500 0.671
Ba 0.109 0.000 0.219
Ba 0.664 0.500 0.329
Ba 0.891 0.000 0.781
Ba 0.000 0.500 0.000
Ir 0.500 0.000 0.000

Output
Energy relative to the elements (eV/atom): 0.1717
SG: Cmmm



Record 16
Material: LaSbAs2
Method: DFT, PBEsol
State: relaxed

abc: 3.940 5.049 5.928
angles: 97.83 109.41 90.00
Positions (direct):
As 0.769 0.666 0.537
As 0.231 0.334 0.463
La 0.500 0.500 0.000
Sb 0.000 0.000 0.000

Output
Raw formation energy (eV per formula unit): -2.16
SG: C2/m



Record 17
Material: ZrIn2Mo
Method: DFT, PBEsol
State: relaxed

abc: 3.869 4.369 4.546
angles: 90.00 90.00 90.00
Positions (direct):
Mo 0.500 0.000 0.500
Zr 0.000 0.500 0.500
In 0.000 0.000 0.000
In 0.500 0.500 0.000

Output
Energy relative to the elements (eV/atom): -0.0006
SG: Pmmm



Record 18
Material: TlFeTc2
Method: DFT, PBEsol
State: relaxed

abc: 2.871 2.871 7.447
angles: 90.00 90.00 90.00
Positions (direct):
Tl 0.000 0.000 0.508
Fe 0.500 0.500 0.778
Tc 0.500 0.500 0.212
Tc 0.000 0.000 0.002

Output
Energy relative to the elements (eV/atom): 0.4122
SG: P4mm



Record 19
Material: FeSiAs3
Method: DFT, PBEsol
State: relaxed

abc: 4.656 4.656 4.656
angles: 90.00 90.00 90.00
Positions (direct):
Si 0.000 0.000 0.000
Fe 0.500 0.500 0.500
As 0.000 0.500 0.000
As 0.500 0.000 0.000
As 0.000 0.000 0.500

Output
Raw formation energy (eV per formula unit): 5.26
SG: Pm-3m



Record 20
Material: InPAu
Method: DFT, PBEsol
State: relaxed

abc: 4.454 4.454 4.454
angles: 60.00 60.00 60.00
Positions (direct):
P 0.500 0.500 0.500
Au 0.250 0.250 0.250
In 0.000 0.000 0.000

Output
Energy relative to the elements (eV/atom): 0.1303
SG: F-43m



no.,calculated volume (Å³ per atom),DFT total energy (eV/atom)
1,14.9,-6.893
2,28.0,-3.813
3,17.2,-3.474
4,22.3,-2.490
5,14.1,-5.093
6,10.3,-5.856
7,25.0,-2.875
8,28.8,-3.322
9,13.4,-9.734
10,15.7,-6.413
11,24.4,-6.021
12,14.2,-5.833
13,12.6,-9.621
14,16.9,-4.341
15,44.0,-3.256
16,27.5,-5.569
17,19.2,-6.706
18,15.3,-8.119
19,20.2,-4.954
20,20.8,-4.102